Entry 1:
Compound: Rb4Th3FeS8
Source: Alexandria
Functional: PBE
Structure: optimized geometry

a = 8.192 Å, b = 9.078 Å, c = 8.193 Å
α = 116.82°, β = 120.00°, γ = 90.00°
Last column: magnetic moment on the atom in μB.
Fractional positions:
Th1 0.500 0.500 0.500  -0.10
Th2 0.500 0.500 0.000  -0.10
Th3 0.000 0.500 0.500  -0.10
S1 0.735 0.706 0.470  0.00
S2 0.265 0.294 0.530  0.00
S3 0.228 0.692 0.455  0.02
S4 0.263 0.308 0.036  0.02
S5 0.772 0.308 0.545  0.02
S6 0.227 0.692 0.964  0.02
S7 0.773 0.308 0.036  0.02
S8 0.737 0.692 0.964  0.02
Rb1 0.000 0.000 0.500  0.00
Rb2 0.500 0.000 0.500  0.00
Rb3 0.500 0.000 0.000  0.00
Rb4 0.000 0.000 0.000  0.00
Fe1 0.000 0.500 0.000  3.11

Space group: No. 166
Volume in A^3/atom: 28.155
DFT total energy in eV per atom: -5.653
Crystal system: trigonal
Uncorrected formation energy in eV/atom: -1.427

Entry 2:
Compound: La2MoBr
Source: Alexandria
Functional: PBE
Structure: optimized geometry

a = 5.195 Å, b = 5.195 Å, c = 5.195 Å
α = 60.00°, β = 60.00°, γ = 60.00°
Last column: magnetic moment on the atom in μB.
Fractional positions:
Mo1 0.750 0.750 0.750  0.62
La1 0.000 0.000 0.000  -0.04
La2 0.250 0.250 0.250  -0.10
Br1 0.500 0.500 0.500  0.01

Space group: No. 216
Volume in A^3/atom: 24.787
DFT total energy in eV per atom: -5.146
E above lowest polymorph in eV per atom: 0.814
Crystal system: cubic
Uncorrected formation energy in eV/atom: 0.444

Entry 3:
Compound: Ce6TeAs3P2
Source: Alexandria
Functional: PBE
Structure: optimized geometry

a = 4.218 Å, b = 8.474 Å, c = 9.430 Å
α = 102.71°, β = 102.92°, γ = 90.00°
Last column: magnetic moment on the atom in μB.
Fractional positions:
Ce1 0.331 0.421 0.662  0.68
Ce2 0.996 0.732 0.991  0.69
Ce3 0.669 0.579 0.338  0.68
Ce4 0.673 0.094 0.347  0.69
Ce5 0.004 0.268 0.009  0.69
Ce6 0.327 0.906 0.653  0.69
P1 0.832 0.665 0.664  -0.03
P2 0.168 0.335 0.336  -0.03
As1 0.163 0.832 0.326  -0.03
As2 0.837 0.168 0.674  -0.03
As3 0.500 0.500 0.000  -0.03
Te1 0.500 0.000 0.000  -0.02

Space group: No. 12
Volume in A^3/atom: 26.669
DFT total energy in eV per atom: -6.719
Crystal system: monoclinic
Uncorrected formation energy in eV/atom: -1.427

Entry 4:
Compound: La4AlSiN
Source: Alexandria
Functional: PBE
Structure: optimized geometry

a = 6.920 Å, b = 6.938 Å, c = 8.961 Å
α = 90.00°, β = 112.71°, γ = 90.00°
Fractional positions:
La1 0.581 0.250 0.162
La2 0.067 0.750 0.134
La3 0.500 0.000 0.500
La4 0.000 0.000 0.500
La5 0.000 0.500 0.500
La6 0.933 0.250 0.866
La7 0.500 0.500 0.500
La8 0.419 0.750 0.838
Al1 0.614 0.750 0.229
Al2 0.386 0.250 0.771
N1 0.728 0.250 0.455
N2 0.272 0.750 0.545
Si1 0.885 0.750 0.770
Si2 0.115 0.250 0.230

Space group: No. 63
Volume in A^3/atom: 28.350
DFT total energy in eV per atom: -5.958
Crystal system: orthorhombic
Uncorrected formation energy in eV/atom: -0.643

Entry 5:
Compound: Na2Cd7In2
Source: Alexandria
Functional: PBE
Structure: optimized geometry

a = 5.408 Å, b = 7.396 Å, c = 7.396 Å
α = 94.70°, β = 78.67°, γ = 78.67°
Fractional positions:
Cd1 0.294 0.434 0.434
Cd2 0.691 0.003 0.607
Cd3 0.309 0.393 0.997
Cd4 0.706 0.566 0.566
Cd5 0.309 0.997 0.393
Cd6 0.691 0.607 0.003
Cd7 0.500 0.000 0.000
Na1 0.148 0.780 0.780
Na2 0.852 0.220 0.220
In1 0.000 0.248 0.752
In2 0.000 0.752 0.248

Space group: No. 12
Volume in A^3/atom: 25.650
DFT total energy in eV per atom: -1.337
Crystal system: monoclinic
Formation enthalpy at 0 K in eV/f.u.: -0.19

Entry 6:
Compound: ScCd2In
Source: Alexandria
Functional: PBE
Structure: optimized geometry

a = 5.589 Å, b = 5.589 Å, c = 5.589 Å
α = 133.44°, β = 133.43°, γ = 67.97°
Fractional positions:
Cd1 0.000 0.000 0.000
Cd2 0.500 0.500 0.000
Sc1 0.250 0.750 0.500
In1 0.750 0.250 0.500

Space group: No. 139
Volume in A^3/atom: 22.610
DFT total energy in eV per atom: -2.911
Crystal system: tetragonal
Formation enthalpy at 0 K in eV/f.u.: -0.74

Entry 7:
Compound: MgOs4Au
Source: Alexandria
Functional: PBE
Structure: optimized geometry

a = 5.201 Å, b = 5.201 Å, c = 5.201 Å
α = 60.00°, β = 60.00°, γ = 60.00°
Fractional positions:
Os1 0.375 0.375 0.375
Os2 0.375 0.375 0.875
Os3 0.375 0.875 0.375
Os4 0.875 0.375 0.375
Au1 0.750 0.750 0.750
Mg1 0.000 0.000 0.000

Space group: No. 216
Volume in A^3/atom: 16.584
DFT total energy in eV per atom: -7.684
Crystal system: cubic
Formation enthalpy at 0 K in eV/f.u.: 3.69

Entry 8:
Compound: Ce2HoTh3Se6
Source: Alexandria
Functional: PBE
Structure: optimized geometry

a = 4.146 Å, b = 8.406 Å, c = 9.389 Å
α = 104.49°, β = 102.75°, γ = 90.00°
Last column: magnetic moment on the atom in μB.
Fractional positions:
Ce1 0.167 0.334 0.334  0.50
Ce2 0.833 0.666 0.666  0.50
Se1 0.662 0.083 0.324  -0.01
Se2 0.338 0.917 0.676  -0.01
Se3 0.332 0.420 0.665  -0.01
Se4 0.000 0.761 0.000  0.00
Se5 0.668 0.580 0.335  -0.01
Se6 0.000 0.239 0.000  0.00
Th1 0.168 0.832 0.337  -0.01
Th2 0.832 0.168 0.663  -0.01
Th3 0.500 0.500 0.000  -0.02
Ho1 0.500 0.000 0.000  0.01

Space group: No. 12
Volume in A^3/atom: 25.703
DFT total energy in eV per atom: -6.633
Crystal system: monoclinic
Uncorrected formation energy in eV/atom: -1.665

Entry 9:
Compound: GdDyAg2
Source: Alexandria
Functional: PBE
Structure: optimized geometry

a = 3.633 Å, b = 5.181 Å, c = 5.181 Å
α = 90.00°, β = 90.00°, γ = 90.00°
Last column: magnetic moment on the atom in μB.
Fractional positions:
Ag1 0.000 0.500 0.000  0.00
Ag2 0.000 0.000 0.500  0.00
Gd1 0.500 0.500 0.500  7.09
Dy1 0.500 0.000 0.000  -0.07

Space group: No. 123
Volume in A^3/atom: 24.378
DFT total energy in eV per atom: -6.410
Crystal system: tetragonal
Formation enthalpy at 0 K in eV/f.u.: -1.25

Entry 10:
Compound: Tb3PmNd4
Source: Alexandria
Functional: PBE
Structure: optimized geometry

a = 6.351 Å, b = 7.357 Å, c = 11.720 Å
α = 90.00°, β = 90.00°, γ = 90.00°
Fractional positions:
Pm1 0.148 0.376 0.000
Pm2 0.648 0.624 0.500
Nd1 0.150 0.872 0.500
Nd2 0.982 0.126 0.252
Nd3 0.482 0.874 0.752
Nd4 0.145 0.872 0.000
Nd5 0.650 0.128 0.000
Nd6 0.982 0.126 0.748
Nd7 0.645 0.128 0.500
Nd8 0.482 0.874 0.248
Tb1 0.647 0.622 0.000
Tb2 0.481 0.377 0.250
Tb3 0.981 0.623 0.750
Tb4 0.147 0.378 0.500
Tb5 0.981 0.623 0.250
Tb6 0.481 0.377 0.750

Space group: No. 31
Volume in A^3/atom: 34.225
DFT total energy in eV per atom: -4.684
E above lowest polymorph in eV per atom: 0.014
Crystal system: orthorhombic
Formation enthalpy at 0 K in eV/f.u.: 0.24

Entry 11:
Compound: Sr2TlVS
Source: Alexandria
Functional: PBE
Structure: optimized geometry

a = 5.832 Å, b = 4.527 Å, c = 5.832 Å
α = 90.00°, β = 90.00°, γ = 90.00°
Last column: magnetic moment on the atom in μB.
Fractional positions:
Sr1 0.500 0.000 0.000  -0.01
Sr2 0.000 0.000 0.500  0.01
Tl1 0.500 0.500 0.500  -0.09
V1 0.000 0.500 0.000  2.57
S1 0.000 0.000 0.000  -0.09

Space group: No. 123
Volume in A^3/atom: 30.794
DFT total energy in eV per atom: -4.308
E above lowest polymorph in eV per atom: 0.000
Crystal system: tetragonal
Uncorrected formation energy in eV/atom: -0.513

Entry 12:
Compound: RbSr3Re
Source: Alexandria
Functional: PBE
Structure: optimized geometry

a = 5.784 Å, b = 5.784 Å, c = 5.784 Å
α = 90.00°, β = 90.00°, γ = 90.00°
Fractional positions:
Sr1 0.500 0.000 0.000
Sr2 0.000 0.500 0.000
Sr3 0.000 0.000 0.500
Rb1 0.000 0.000 0.000
Re1 0.500 0.500 0.500

Space group: No. 221
Volume in A^3/atom: 38.692
DFT total energy in eV per atom: -1.498
E above lowest polymorph in eV per atom: 1.515
Crystal system: cubic
Formation enthalpy at 0 K in eV/f.u.: 10.97